No. 1
A relaxed structure of VPPt2, computed with PBE.

* energy: -6.6621 eV per atom
* ΔE_f: -0.010 eV per atom

Geometry as CIF:
```
data_VPPt2
_chemical_formula_sum 'V4 P4 Pt8'
_cell_length_a 4.409
_cell_length_b 4.409
_cell_length_c 14.699
_cell_angle_alpha 90.00
_cell_angle_beta 90.00
_cell_angle_gamma 90.00
_space_group_name_H-M_alt 'I -4 2 d'
_space_group_IT_number 122
_space_group_name_Hall 'I -4 2bw'
loop_
_atom_site_label
_atom_site_type_symbol
_atom_site_fract_x
_atom_site_fract_y
_atom_site_fract_z
V1 V 0.000 0.000 0.000
P1 P 0.000 0.000 0.500
Pt1 Pt 0.210 0.250 0.625
```



No. 2
A relaxed structure of V3PPt, computed with PBE.

* relative energy among the computed polymorphs: 0.00 kcal/mol of atoms
* energy: -7.6541 eV per atom
* ΔE_f: 0.107 eV per atom

Geometry as CIF:
```
data_V3PPt
_chemical_formula_sum 'V3 P1 Pt1'
_cell_length_a 4.288
_cell_length_b 4.288
_cell_length_c 4.288
_cell_angle_alpha 90.00
_cell_angle_beta 90.00
_cell_angle_gamma 90.00
_space_group_name_H-M_alt 'P m -3 m'
_space_group_IT_number 221
_space_group_name_Hall '-P 4 2 3'
loop_
_atom_site_label
_atom_site_type_symbol
_atom_site_fract_x
_atom_site_fract_y
_atom_site_fract_z
V1 V 0.000 0.000 0.500
P1 P 0.000 0.000 0.000
Pt1 Pt 0.500 0.500 0.500
```



No. 3
A relaxed structure of VP2Pt, computed with PBE.

* relative energy among the computed polymorphs: 1.01 kcal/mol of atoms
* energy: -6.6488 eV per atom
* ΔE_f: -0.154 eV per atom

Geometry as CIF:
```
data_VP2Pt
_chemical_formula_sum 'V4 P8 Pt4'
_cell_length_a 6.017
_cell_length_b 6.017
_cell_length_c 6.017
_cell_angle_alpha 90.00
_cell_angle_beta 90.00
_cell_angle_gamma 90.00
_space_group_name_H-M_alt 'F m -3 m'
_space_group_IT_number 225
_space_group_name_Hall '-F 4 2 3'
loop_
_atom_site_label
_atom_site_type_symbol
_atom_site_fract_x
_atom_site_fract_y
_atom_site_fract_z
V1 V 0.000 0.000 0.000
P1 P 0.250 0.250 0.250
Pt1 Pt 0.000 0.000 0.500
```



No. 4
A relaxed structure of V3PPt, computed with PBE.

* relative energy among the computed polymorphs: 22.25 kcal/mol of atoms
* energy: -6.6892 eV per atom
* ΔE_f: 1.072 eV per atom

Geometry as CIF:
```
data_V3PPt
_chemical_formula_sum 'V3 P1 Pt1'
_cell_length_a 4.705
_cell_length_b 4.705
_cell_length_c 4.705
_cell_angle_alpha 90.00
_cell_angle_beta 90.00
_cell_angle_gamma 90.00
_space_group_name_H-M_alt 'P m -3 m'
_space_group_IT_number 221
_space_group_name_Hall '-P 4 2 3'
loop_
_atom_site_label
_atom_site_type_symbol
_atom_site_fract_x
_atom_site_fract_y
_atom_site_fract_z
V1 V 0.000 0.000 0.500
P1 P 0.500 0.500 0.500
Pt1 Pt 0.000 0.000 0.000
```